## YZrMo (PBE-GGA)

Data for a geometry-optimized YZrMo structure.

Properties
Energy ... -24.17 eV/cell
Crystal system ... cubic
Calculated formation energy ... 0.56 eV/atom
Calculated density ... 6.17 g/cm³
N(E_F) ... 3.2 states/eV/f.u.
Magnetization ... 0.00 μB/cell

Cell: 4.7199 4.7199 4.7199 Å, 60.00 60.00 60.00°
Positions (direct):
Y1 0.0000 0.0000 0.0000
Zr1 0.5000 0.5000 0.5000
Mo1 0.7500 0.7500 0.7500



## CaCd6 (PBE-GGA)

Data for a geometry-optimized CaCd6 structure.

Properties
Energy ... -5.65 eV/cell
Crystal system ... cubic
Calculated formation energy ... 0.26 eV/atom
Calculated density ... 4.90 g/cm³
N(E_F) ... 7.1 states/eV/f.u.
Magnetization ... 0.00 μB/cell

Cell: 6.8030 6.8030 6.8030 Å, 109.47 109.47 109.47°
Positions (direct):
Ca1 0.0000 0.0000 0.0000
Cd1 0.2500 0.5000 0.7500
Cd2 0.2500 0.7500 0.5000
Cd3 0.5000 0.2500 0.7500
Cd4 0.5000 0.7500 0.2500
Cd5 0.7500 0.2500 0.5000
Cd6 0.7500 0.5000 0.2500



## HgMoAu2 (PBE-GGA)

Data for a geometry-optimized HgMoAu2 structure.

Properties
Energy ... -15.88 eV/cell
Crystal system ... tetragonal
Calculated formation energy ... 0.45 eV/atom
Calculated density ... 15.57 g/cm³
N(E_F) ... 2.7 states/eV/f.u.
Magnetization ... 1.69 μB/cell

Cell: 4.9362 4.9362 4.9362 Å, 127.39 127.39 77.62°
Positions (direct):
Hg1 0.0000 0.0000 0.0000
Mo1 0.5000 0.5000 0.0000
Au1 0.2500 0.7500 0.5000
Au2 0.7500 0.2500 0.5000



## LiHo2ErIn4 (PBE-GGA)

Data for a geometry-optimized LiHo2ErIn4 structure.

Properties
Energy ... -29.86 eV/cell
Crystal system ... trigonal
Calculated formation energy ... -0.41 eV/atom
Calculated density ... 7.99 g/cm³
N(E_F) ... 4.0 states/eV/f.u.
Magnetization ... 0.00 μB/cell

Cell: 9.1270 9.1270 9.1270 Å, 32.96 32.96 32.96°
Positions (direct):
Li1 0.0000 0.0000 0.0000
Ho1 0.2534 0.2534 0.2534
Ho2 0.7466 0.7466 0.7466
Er1 0.5000 0.5000 0.5000
In1 0.1230 0.1230 0.1230
In2 0.3735 0.3735 0.3735
In3 0.6265 0.6265 0.6265
In4 0.8770 0.8770 0.8770